Entry 1:
VASP calculation (PBE) on an optimized crystal structure of SiAg2Br.

a = 3.299 Å, b = 5.789 Å, c = 9.006 Å
α = 90.00°, β = 90.00°, γ = 90.00°
Space group Immm (No. 71)
One atom of each set of equivalent atoms:
Si1 0.000 0.000 0.000 x2
Ag1 0.000 0.500 0.279 x4
Br1 0.000 0.000 0.500 x2

Calculated values
excess energy over the best structure of this formula in the dataset: 75.8 kJ/mol of formula units

=====

Entry 2:
VASP calculation (PBE) on an optimized crystal structure of Si2AgBr.

a = 3.8714 Å, b = 3.8714 Å, c = 19.7786 Å
α = 90.00°, β = 90.00°, γ = 120.00°
Space group R3m (No. 160, hexagonal axes)
One atom of each set of equivalent atoms:
Si1 0.0000 0.0000 0.0000 x3
Si2 0.0000 0.0000 0.2971 x3
Ag1 0.0000 0.0000 0.5466 x3
Br1 0.0000 0.0000 0.7882 x3

Calculated values
excess energy over the best structure of this formula in the dataset: 0.0 kJ/mol of formula units

=====

Entry 3:
VASP calculation (PBE) on an optimized crystal structure of Si2AgBr.

a = 3.663 Å, b = 3.663 Å, c = 16.121 Å
α = 90.00°, β = 90.00°, γ = 90.00°
Space group I4/mmm (No. 139)
One atom of each set of equivalent atoms:
Si1 0.000 0.500 0.250 x4
Ag1 0.000 0.000 0.000 x2
Br1 0.000 0.000 0.500 x2

Calculated values
excess energy over the best structure of this formula in the dataset: 149.0 kJ/mol of formula units

=====

What is the formula in the second record? Si2AgBr